No. 1
Compound: CaLa3Mg
Source: Alexandria via LeMat-Bulk
Functional: SCAN
Structure: PBEsol geometry

abc: 5.754 5.754 5.754
angles: 90.00 90.00 90.00
Sites, in units of the cell vectors:
1 Ca 0.000 0.000 0.000
2 La 0.000 0.000 0.500
3 La 0.000 0.500 0.000
4 La 0.500 0.000 0.000
5 Mg 0.500 0.500 0.500

## Properties
Volume in Å³ per cell: 190
Fermi-level density of states in states/eV per cell: 6.414
Magnetic moment in μB per cell: 0.0
Energy relative to the elements in meV per atom: 749
Uncorrected energy in eV per atom: -28.042
Crystal system: cubic
Symmetry: No. 221


No. 2
Compound: Ca2LaMg
Source: Alexandria via LeMat-Bulk
Functional: SCAN
Structure: PBEsol geometry

abc: 3.747 3.747 9.841
angles: 90.00 90.00 90.00
Sites, in units of the cell vectors:
1 Ca 0.000 0.000 0.000
2 Ca 0.500 0.500 0.290
3 La 0.000 0.000 0.573
4 Mg 0.500 0.500 0.787

## Properties
Volume in Å³ per cell: 138
Fermi-level density of states in states/eV per cell: 4.450
Magnetic moment in μB per cell: 0.1
Energy relative to the elements in meV per atom: -14
Uncorrected energy in eV per atom: -16.865
Crystal system: tetragonal
Symmetry: No. 99


No. 3
Compound: Ca2LaMg
Source: Alexandria via LeMat-Bulk
Functional: SCAN
Structure: PBEsol geometry

abc: 3.620 3.620 10.343
angles: 90.00 90.00 90.00
Sites, in units of the cell vectors:
1 Ca 0.000 0.000 0.225
2 Ca 0.000 0.000 0.775
3 La 0.500 0.500 0.500
4 Mg 0.500 0.500 0.000

## Properties
Volume in Å³ per cell: 136
Fermi-level density of states in states/eV per cell: 4.355
Magnetic moment in μB per cell: 0.4
Energy relative to the elements in meV per atom: 24
Uncorrected energy in eV per atom: -16.828
Crystal system: tetragonal
Symmetry: No. 123


No. 4
Compound: CaLa2Mg2
Source: Alexandria via LeMat-Bulk
Functional: SCAN
Structure: PBEsol geometry

abc: 9.556 9.556 3.502
angles: 90.00 90.00 90.00
Sites, in units of the cell vectors:
1 Ca 0.000 0.000 0.000
2 Ca 0.500 0.500 0.000
3 La 0.173 0.327 0.500
4 La 0.327 0.827 0.500
5 La 0.673 0.173 0.500
6 La 0.827 0.673 0.500
7 Mg 0.120 0.620 0.000
8 Mg 0.380 0.120 0.000
9 Mg 0.620 0.880 0.000
10 Mg 0.880 0.380 0.000

## Properties
Volume in Å³ per cell: 320
Fermi-level density of states in states/eV per cell: 8.128
Magnetic moment in μB per cell: 0.6
Energy relative to the elements in meV per atom: -17
Uncorrected energy in eV per atom: -21.181
Crystal system: tetragonal
Symmetry: No. 127


No. 5
Compound: CaLaMg2
Source: Alexandria via LeMat-Bulk
Functional: SCAN
Structure: PBEsol geometry

abc: 3.941 3.967 7.695
angles: 90.00 90.00 90.00
Sites, in units of the cell vectors:
1 Ca 0.000 0.000 0.000
2 La 0.000 0.000 0.500
3 Mg 0.500 0.500 0.252
4 Mg 0.500 0.500 0.748

## Properties
Volume in Å³ per cell: 120
Fermi-level density of states in states/eV per cell: 2.950
Magnetic moment in μB per cell: 0.4
Energy relative to the elements in meV per atom: -100
Uncorrected energy in eV per atom: -15.779
Crystal system: orthorhombic
Symmetry: No. 47


No. 6
Compound: CaLaMg2
Source: Alexandria via LeMat-Bulk
Functional: SCAN
Structure: PBEsol geometry

abc: 3.897 5.563 5.564
angles: 90.00 90.00 90.00
Sites, in units of the cell vectors:
1 Ca 0.000 0.000 0.000
2 La 0.000 0.500 0.503
3 Mg 0.500 0.000 0.499
4 Mg 0.500 0.500 0.004

## Properties
Volume in Å³ per cell: 121
Fermi-level density of states in states/eV per cell: 2.064
Magnetic moment in μB per cell: 0.0
Energy relative to the elements in meV per atom: -111
Uncorrected energy in eV per atom: -15.790
Crystal system: orthorhombic
Symmetry: No. 25


No. 7
Compound: CaLaMg4
Source: Alexandria via LeMat-Bulk
Functional: SCAN
Structure: PBEsol geometry

abc: 6.150 6.150 6.150
angles: 60.00 60.00 60.00
Sites, in units of the cell vectors:
1 Ca 0.000 0.000 0.000
2 La 0.250 0.250 0.250
3 Mg 0.127 0.624 0.624
4 Mg 0.624 0.127 0.624
5 Mg 0.624 0.624 0.127
6 Mg 0.624 0.624 0.624

## Properties
Volume in Å³ per cell: 164
Fermi-level density of states in states/eV per cell: 3.909
Magnetic moment in μB per cell: 0.1
Energy relative to the elements in meV per atom: -141
Uncorrected energy in eV per atom: -12.251
Crystal system: cubic
Symmetry: No. 216


No. 8
Compound: CaLaMg2
Source: Alexandria via LeMat-Bulk
Functional: SCAN
Structure: PBEsol geometry

abc: 12.546 3.532 5.817
angles: 90.00 110.71 90.00
Sites, in units of the cell vectors:
1 Ca 0.000 0.000 0.000
2 Ca 0.500 0.500 0.000
3 La 0.289 0.500 0.341
4 La 0.789 0.000 0.341
5 Mg 0.042 0.500 0.531
6 Mg 0.245 0.000 0.815
7 Mg 0.542 0.000 0.531
8 Mg 0.745 0.500 0.815

## Properties
Volume in Å³ per cell: 241
Fermi-level density of states in states/eV per cell: 6.123
Magnetic moment in μB per cell: 1.3
Energy relative to the elements in meV per atom: -44
Uncorrected energy in eV per atom: -15.723
Crystal system: monoclinic
Symmetry: No. 8


No. 9
Compound: Ca2LaMg
Source: Alexandria via LeMat-Bulk
Functional: SCAN
Structure: PBEsol geometry

abc: 4.341 5.562 5.627
angles: 90.00 90.00 90.00
Sites, in units of the cell vectors:
1 Ca 0.000 0.000 0.000
2 Ca 0.500 0.500 0.000
3 La 0.000 0.500 0.500
4 Mg 0.500 0.000 0.500

## Properties
Volume in Å³ per cell: 136
Fermi-level density of states in states/eV per cell: 3.338
Magnetic moment in μB per cell: 0.0
Energy relative to the elements in meV per atom: 28
Uncorrected energy in eV per atom: -16.823
Crystal system: orthorhombic
Symmetry: No. 47


No. 10
Compound: Ca2LaMgMo
Source: Alexandria via LeMat-Bulk
Functional: SCAN
Structure: PBEsol geometry

abc: 5.672 5.672 5.563
angles: 90.00 90.00 90.00
Sites, in units of the cell vectors:
1 Ca 0.000 0.500 0.000
2 Ca 0.500 0.000 0.000
3 La 0.000 0.000 0.000
4 Mg 0.000 0.000 0.500
5 Mo 0.500 0.500 0.500

## Properties
Volume in Å³ per cell: 179
Fermi-level density of states in states/eV per cell: 3.921
Magnetic moment in μB per cell: 2.7
Energy relative to the elements in meV per atom: 1657
Uncorrected energy in eV per atom: -18.801
Crystal system: tetragonal
Symmetry: No. 123


No. 11
Compound: Ca2LaMgPt
Source: Alexandria via LeMat-Bulk
Functional: SCAN
Structure: PBEsol geometry

abc: 5.814 5.814 5.046
angles: 90.00 90.00 90.00
Sites, in units of the cell vectors:
1 Ca 0.000 0.500 0.000
2 Ca 0.500 0.000 0.000
3 La 0.000 0.000 0.000
4 Mg 0.500 0.500 0.500
5 Pt 0.000 0.000 0.500

## Properties
Volume in Å³ per cell: 171
Fermi-level density of states in states/eV per cell: 3.385
Magnetic moment in μB per cell: 0.0
Energy relative to the elements in meV per atom: 528
Uncorrected energy in eV per atom: -26.992
Crystal system: tetragonal
Symmetry: No. 123


No. 12
Compound: CaLaMg2Ru
Source: Alexandria via LeMat-Bulk
Functional: SCAN
Structure: PBEsol geometry

abc: 5.504 5.504 5.486
angles: 90.00 90.00 90.00
Sites, in units of the cell vectors:
1 Ca 0.000 0.000 0.000
2 La 0.000 0.000 0.500
3 Mg 0.000 0.500 0.500
4 Mg 0.500 0.000 0.500
5 Ru 0.500 0.500 0.000

## Properties
Volume in Å³ per cell: 166
Fermi-level density of states in states/eV per cell: 3.445
Magnetic moment in μB per cell: 4.6
Energy relative to the elements in meV per atom: 1881
Uncorrected energy in eV per atom: -17.628
Crystal system: tetragonal
Symmetry: No. 123